w.
Fe2RuAu, optimized geometry, DFT PBE; SG = P4mm; mass density = 12.102 Mg/m³
1.0
-1.323 0.509 -2.498
2.049 -1.462 -1.383
-3.598 -5.739 0.736
Au Fe Ru
1 2 1
Direct
0.500 0.500 0.763
0.500 0.500 0.245
0.000 0.000 0.033
0.000 0.000 0.459

x.
Fe2RuAu, optimized geometry, DFT PBE; SG = R-3m; mass density = 11.974 Mg/m³
1.0
8.959 0.003 0.002
8.543 2.699 0.002
8.543 1.319 2.355
Ru Au Fe
1 1 2
Direct
0.250 0.250 0.250
0.750 0.750 0.750
0.504 0.504 0.504
0.996 0.996 0.996

y.
Fe2RuAu, optimized geometry, DFT PBE; SG = F-43m; mass density = 11.753 Mg/m³
1.0
4.342 0.000 0.000
2.171 3.760 0.000
2.171 1.253 3.545
Fe Ru Au
2 1 1
Direct
0.750 0.750 0.750
0.000 0.000 0.000
0.250 0.250 0.250
0.500 0.500 0.500

w is the most stable structure; the next one sits 53 meV/atom above it.

w.
Fe2RuAu, optimized geometry, DFT PBE; SG = I-4m2; mass density = 12.005 Mg/m³
1.0
4.765 0.056 -0.009
1.695 4.454 0.009
-3.224 -2.263 2.682
Ru Fe Au
1 2 1
Direct
0.500 0.500 0.000
0.000 0.000 0.000
0.750 0.250 0.500
0.250 0.750 0.500

x.
Fe2RuAu, optimized geometry, DFT PBE; SG = P4/mmm; mass density = 12.117 Mg/m³
1.0
-1.604 0.362 2.153
-0.966 -2.513 -0.297
5.529 -2.666 4.566
Au Ru Fe
1 1 2
Direct
0.500 0.500 0.750
0.500 0.500 0.250
0.000 0.000 0.482
0.000 0.000 0.018

y.
Fe2RuAu, optimized geometry, DFT PBE; SG = I-42d; mass density = 11.591 Mg/m³
1.0
6.628 0.000 0.000
0.000 6.628 0.000
3.314 3.314 2.672
Ru Fe Au
2 4 2
Direct
0.250 0.750 0.500
0.500 0.500 0.000
0.375 0.416 0.750
0.584 0.125 0.250
0.166 0.625 0.250
0.875 0.834 0.750
0.750 0.250 0.500
0.000 0.000 0.000

z.
Fe2RuAu, optimized geometry, DFT PBE; SG = Cmmm; mass density = 11.770 Mg/m³
1.0
2.685 0.009 0.000
-0.873 2.539 0.000
0.000 0.000 8.473
Ru Fe Au
1 2 1
Direct
0.500 0.500 0.250
0.000 0.000 0.487
0.000 0.000 0.013
0.500 0.500 0.750

x is the most stable structure; the next one sits 77 meV/atom above it.

w.
Fe2RuAu, optimized geometry, DFT PBE; SG = Cmmm; mass density = 12.093 Mg/m³
1.0
-2.570 3.619 -1.394
-0.714 -3.437 -3.054
-2.081 -0.900 1.499
Fe Au Ru
2 1 1
Direct
0.500 0.500 0.000
0.000 0.000 0.000
0.000 0.500 0.500
0.500 0.000 0.500

x.
Fe2RuAu, optimized geometry, DFT PBE; SG = Pmmm; mass density = 12.120 Mg/m³
1.0
-3.236 -1.504 0.967
1.050 -0.699 2.426
-0.582 4.170 4.537
Fe Au Ru
2 1 1
Direct
0.000 0.968 0.032
0.000 0.532 0.468
0.500 0.750 0.750
0.500 0.250 0.250

x is the most stable structure; the next one sits 39 meV/atom above it.

w.
Fe2RuAu, optimized geometry, DFT PBE; SG = P4/mmm; mass density = 11.977 Mg/m³
1.0
3.577 0.000 0.000
0.000 3.985 0.000
0.000 0.000 3.985
Fe Au Ru
2 1 1
Direct
0.000 0.000 0.000
0.000 0.500 0.500
0.500 0.000 0.500
0.500 0.500 0.000

x.
Fe2RuAu, optimized geometry, DFT PBE; SG = I4/mmm; mass density = 12.050 Mg/m³
1.0
-0.096 2.362 -3.952
-1.028 -3.058 -3.286
-2.135 0.859 3.989
Ru Fe Au
1 2 1
Direct
0.750 0.250 0.500
0.000 0.000 0.000
0.500 0.500 0.000
0.250 0.750 0.500

y.
Fe2RuAu, optimized geometry, DFT PBE; SG = Cm; mass density = 12.167 Mg/m³
1.0
-0.791 -1.696 -4.317
1.885 -2.058 -3.788
-0.758 -4.536 0.738
Ru Fe Au
1 2 1
Direct
0.489 0.489 0.538
0.742 0.742 0.735
0.014 0.014 0.997
0.255 0.255 0.229

z.
Fe2RuAu, optimized geometry, DFT PBE; SG = C2/m; mass density = 11.937 Mg/m³
1.0
4.614 0.021 -0.015
3.798 2.620 -0.015
0.787 0.247 4.743
Fe Ru Au
2 1 1
Direct
0.497 0.497 0.515
0.003 0.003 0.985
0.750 0.750 0.750
0.250 0.250 0.250

x is the most stable structure; the next one sits 6 meV/atom above it.